A plane-wave DFT calculation with GGA+U was carried out for a relaxed structure of CrSO2F.

a b c (Å): 3.7464 3.7464 4.0795
angles (deg): 90.00 90.00 90.00
With the nearest neighbours (Å) after each atom.
Atoms (fractional coordinates):
O 0.5000 0.0000 0.0000  2 Cr 1.87
O 0.0000 0.5000 0.0000  2 Cr 1.87
F 0.0000 0.0000 0.5000  2 Cr 2.04
Cr 0.0000 0.0000 0.0000  4 O 1.87, 2 F 2.04
S 0.5000 0.5000 0.5000  4 F 2.65, 8 O 2.77

Properties
Total DFT energy (no corrections) ... -4.942 eV/atom
DOS(E_F) ... 2.93 states/eV/cell